Entry from Alexandria: an optimized crystal structure of AcPr3Nd7 (PBE-GGA).

CIF file:
```
data_AcPr3Nd7
_chemical_formula_sum 'Ac2 Pr6 Nd14'
_cell_length_a 12.046
_cell_length_b 10.295
_cell_length_c 6.693
_cell_angle_alpha 90.00
_cell_angle_beta 95.14
_cell_angle_gamma 90.00
_space_group_name_H-M_alt 'C 1 2/m 1'
_space_group_IT_number 12
loop_
_space_group_symop_operation_xyz
'x,y,z'
'-x,-y,-z'
'-x,y,-z'
'x,-y,z'
'x+1/2,y+1/2,z'
'-x+1/2,-y+1/2,-z'
'-x+1/2,y+1/2,-z'
'x+1/2,-y+1/2,z'
loop_
_atom_site_label
_atom_site_type_symbol
_atom_site_fract_x
_atom_site_fract_y
_atom_site_fract_z
Ac1 Ac 0.000 0.000 0.000
Pr1 Pr 0.000 0.326 0.500
Pr2 Pr 0.000 0.500 0.000
Nd1 Nd 0.000 0.000 0.500
Nd2 Nd 0.234 0.500 0.703
Nd3 Nd 0.249 0.175 0.760
```

For the density, the calculation gives 6.67 g/cm³.

---

Entry from Alexandria: an optimized crystal structure of Ac2Pr7Nd (PBE-GGA).

CIF file:
```
data_Ac2Pr7Nd
_chemical_formula_sum 'Ac4 Pr14 Nd2'
_cell_length_a 6.942
_cell_length_b 30.386
_cell_length_c 3.636
_cell_angle_alpha 90.00
_cell_angle_beta 90.00
_cell_angle_gamma 90.00
_space_group_name_H-M_alt 'C m m m'
_space_group_IT_number 65
_space_group_name_Hall '-C 2 2'
loop_
_atom_site_label
_atom_site_type_symbol
_atom_site_fract_x
_atom_site_fract_y
_atom_site_fract_z
Ac1 Ac 0.000 0.205 0.000
Pr1 Pr 0.000 0.000 0.000
Pr2 Pr 0.000 0.315 0.500
Pr3 Pr 0.244 0.403 0.000
Nd1 Nd 0.000 0.500 0.500
```

For the density, the calculation gives 6.86 g/cm³.

---

The following formation enthalpy at 0 K values (in eV/atom) correspond, in order, to the records above: 0.19; 0.14.
The following electronic total energy values (in eV/atom) correspond, in order, to the records above: -4.517; -4.501.